[1]
The following is a DFT calculation (GGA-PBE) of an optimized crystal structure of Mg2ScIn2.

Geometry as extended XYZ:
```
5
Lattice="-2.161 2.161 6.456 2.161 -2.161 6.456 2.161 2.161 -6.456" Properties=species:S:1:pos:R:3 pbc="T T T"
Mg 2.161 0.000 3.228
Mg 0.000 2.161 3.228
Sc 0.000 0.000 0.000
In 0.000 0.000 5.111
In 0.000 0.000 7.801
```

magnetic moment: 0.00 μB/cell
DFT formation energy: -0.067 eV per atom
energy above the most stable polymorph in this dataset: 0.100 eV/f.u.

[2]
The following is a DFT calculation (GGA-PBE) of an optimized crystal structure of SrPNO2.

Geometry as extended XYZ:
```
5
Lattice="4.460 0.000 0.000 0.000 4.460 0.000 0.000 0.000 3.381" Properties=species:S:1:pos:R:3 pbc="T T T"
Sr 0.000 0.000 0.000
P 2.230 2.230 0.000
N 2.230 2.230 1.690
O 0.000 2.230 1.690
O 2.230 0.000 1.690
```

magnetic moment: 0.00 μB/cell
energy relative to the elements, uncorrected: -0.071 eV per atom

[3]
The following is a DFT calculation (GGA-PBE) of an optimized crystal structure of Li17Mn4As8.

Geometry as extended XYZ:
```
29
Lattice="6.030 0.000 0.000 -0.009 8.593 0.000 -0.012 -0.111 8.624" Properties=species:S:1:pos:R:3 pbc="T T T"
Li 0.000 0.000 0.000
Li -0.001 4.324 0.038
Li 1.400 6.376 4.307
Li 1.445 8.505 6.365
Li 1.535 6.340 8.611
Li 1.565 4.152 2.262
Li 1.616 2.154 0.155
Li 3.052 6.358 2.124
Li 3.051 6.392 6.471
Li 3.143 1.984 6.628
Li 4.380 2.147 0.335
Li 4.543 6.340 8.614
Li 4.574 0.015 2.278
Li 4.625 4.188 2.348
Li 4.616 4.214 6.367
Li 4.701 8.480 6.272
Li 4.737 6.368 4.302
Mn 1.458 2.095 4.352
Mn 1.482 4.157 6.366
Mn 1.570 0.057 2.271
Mn 4.648 2.085 4.308
As 0.029 2.082 6.536
As 0.054 6.311 6.539
As 0.071 6.449 2.075
As 0.077 2.076 2.211
As 3.026 -0.013 4.340
As 3.026 4.190 4.378
As 3.020 4.216 8.544
As 3.017 8.452 8.624
```

magnetic moment: 1.09 μB/cell
DFT formation energy: -0.554 eV per atom

[4]
The following is a DFT calculation (GGA-PBE) of an optimized crystal structure of ZnIr2Os2.

Geometry as extended XYZ:
```
5
Lattice="-1.899 1.899 5.829 1.899 -1.899 5.829 1.899 1.899 -5.829" Properties=species:S:1:pos:R:3 pbc="T T T"
Zn 0.000 0.000 0.000
Ir 1.899 0.000 2.914
Ir 0.000 1.899 2.914
Os 0.000 0.000 4.656
Os 0.000 0.000 7.002
```

magnetic moment: 0.00 μB/cell
DFT formation energy: 0.550 eV per atom
energy above the most stable polymorph in this dataset: 0.976 eV/f.u.

[5]
The following is a DFT calculation (GGA-PBE) of an optimized crystal structure of SrAgPt2F.

Geometry as extended XYZ:
```
5
Lattice="5.468 0.000 0.000 0.000 5.468 0.000 0.000 0.000 4.376" Properties=species:S:1:pos:R:3 pbc="T T T"
Sr 0.000 0.000 0.000
Ag 2.734 2.734 2.188
Pt 0.000 2.734 0.000
Pt 2.734 0.000 0.000
F 0.000 0.000 2.188
```

magnetic moment: 0.00 μB/cell
energy relative to the elements, uncorrected: 0.184 eV per atom

[6]
The following is a DFT calculation (GGA-PBE) of an optimized crystal structure of NaDy2TmS4.

Geometry as extended XYZ:
```
8
Lattice="6.783 0.000 0.000 0.000 3.888 0.000 -2.218 0.000 6.412" Properties=species:S:1:pos:R:3 pbc="T T T"
Na 0.000 0.000 0.000
Dy 2.282 0.000 3.206
Dy 3.391 1.944 0.000
Tm -1.109 1.944 3.206
S 0.015 0.000 4.783
S 1.143 1.944 1.643
S 3.422 1.944 4.769
S 4.549 0.000 1.629
```

magnetic moment: 0.00 μB/cell
energy relative to the elements, uncorrected: -1.905 eV per atom